Entry from Alexandria: Tm4Tl2Bi after structural relaxation (PBE-GGA).

abc: 5.9095 6.5363 10.5218
angles: 90.00 101.30 90.00
Last column: nearest neighbours and their distance in Å.
Fractional positions:
1 Tm 0.0506 0.2500 0.1528  3 Tl 3.15-3.32, 3 Bi 3.19-3.27
2 Tm 0.1561 0.7500 0.4468  1 Bi 3.00, 4 Tl 3.05-3.36
3 Tm 0.4015 0.0041 0.7305  4 Tl 3.17-3.33, 3 Tm 3.21-3.47
4 Tm 0.4015 0.4959 0.7305  4 Tl 3.17-3.33, 3 Tm 3.21-3.47
5 Tm 0.5985 0.5041 0.2695  4 Tl 3.17-3.33, 3 Tm 3.21-3.47
6 Tm 0.5985 0.9959 0.2695  4 Tl 3.17-3.33, 3 Tm 3.21-3.47
7 Tm 0.8439 0.2500 0.5532  1 Bi 3.00, 4 Tl 3.05-3.36
8 Tm 0.9494 0.7500 0.8472  3 Tl 3.15-3.32, 3 Bi 3.19-3.27
9 Tl 0.2885 0.2500 0.4476  9 Tm 3.05-3.36
10 Tl 0.4979 0.7500 0.9922  6 Tm 3.17-3.32, 2 Tl 3.27, 2 Bi 3.39-3.41
11 Tl 0.5021 0.2500 0.0078  6 Tm 3.17-3.32, 2 Tl 3.27, 2 Bi 3.39-3.41
12 Tl 0.7115 0.7500 0.5524  9 Tm 3.05-3.36
13 Bi 0.0571 0.7500 0.1560  4 Tm 3.00-3.27
14 Bi 0.9429 0.2500 0.8440  4 Tm 3.00-3.27

Results
Space-group type ... P2_1/m, No. 11
Mass density ... 10.8 Mg/m³
Formation energy ... -0.2992 eV per atom